TlMo2P, PBEsol geometry, DFT meta-GGA SCAN; density = 10.770 g cm⁻³; energy of formation = 768 meV per atom; calculated total energy = -149.46 eV for the cell shown; relative energy among the computed polymorphs = 0.625 eV per atom; Fermi-level density of states = 3.19 states/eV/f.u.; volume = 16.47 Å³ per atom
1.0
3.2875 0.0000 0.0000
0.0000 4.2703 0.0000
0.0000 0.0000 4.6923
Tl Mo P
1 2 1
Direct
0.0000 0.0000 0.0000
0.0000 0.5000 0.5000
0.5000 0.5000 0.0000
0.5000 0.0000 0.5000

=====

Tl2MoP, PBEsol geometry, DFT meta-GGA SCAN; density = 11.644 g cm⁻³; energy of formation = 897 meV per atom; calculated total energy = -186.41 eV for the cell shown; relative energy among the computed polymorphs = 0.032 eV per atom; Fermi-level density of states = 2.74 states/eV/f.u.; volume = 19.10 Å³ per atom
1.0
3.7092 0.0000 0.0000
0.0000 3.7092 0.0000
0.0000 0.0000 5.5524
Tl Mo P
2 1 1
Direct
0.0000 0.0000 0.2504
0.0000 0.0000 0.7496
0.5000 0.5000 0.0000
0.5000 0.5000 0.5000